# Y2MgBI | Alexandria via LeMat-Bulk | PBE | optimized geometry
# Total magnetic moment   1.6 μB/cell
# E_form (uncorrected)   1.421 eV/atom
data_Y2MgBI
_symmetry_space_group_name_H-M 'P 4/m m m'
_symmetry_Int_Tables_number 123
_symmetry_space_group_name_Hall '-P 4 2'
_cell_length_a 5.658
_cell_length_b 5.658
_cell_length_c 5.331
_cell_angle_alpha 90.00
_cell_angle_beta 90.00
_cell_angle_gamma 90.00
loop_
_atom_site_label
_atom_site_type_symbol
_atom_site_fract_x
_atom_site_fract_y
_atom_site_fract_z
Y1 Y 0.000 0.500 0.000
Mg1 Mg 0.000 0.000 0.000
B1 B 0.500 0.500 0.500
I1 I 0.000 0.000 0.500

---

# LiErAlIn | Alexandria via LeMat-Bulk | PBE | optimized geometry
# Total magnetic moment   0.0 μB/cell
# DFT formation energy   -286 meV per atom
data_LiErAlIn
_symmetry_space_group_name_H-M 'F -4 3 m'
_symmetry_Int_Tables_number 216
_symmetry_space_group_name_Hall 'F -4 2 3'
_cell_length_a 7.024
_cell_length_b 7.024
_cell_length_c 7.024
_cell_angle_alpha 90.00
_cell_angle_beta 90.00
_cell_angle_gamma 90.00
loop_
_atom_site_label
_atom_site_type_symbol
_atom_site_fract_x
_atom_site_fract_y
_atom_site_fract_z
Li1 Li 0.000 0.000 0.000
Er1 Er 0.000 0.000 0.500
Al1 Al 0.250 0.250 0.750
In1 In 0.250 0.250 0.250